Computed, not measured: a relaxed LaPrSmTh2 crystal at the PBE level of DFT.

Cell: 6.753 6.735 8.684 Å, 112.82 90.00 90.00°
Fractional positions:
La 0.250 0.648 0.297
La 0.750 0.352 0.703
Pr 0.250 0.847 0.693
Pr 0.750 0.153 0.307
Sm 0.750 0.787 0.575
Sm 0.250 0.213 0.425
Th 0.500 0.246 0.000
Th 0.000 0.754 0.000
Th 0.500 0.754 0.000
Th 0.000 0.246 0.000

## Properties
calculated volume = 36.40 Å³/atom
E_form = 180 kJ/mol of formula units
uncorrected energy = -5.48 eV per atom

Computed, not measured: a relaxed BaCoI2 crystal at the PBE level of DFT.

Cell: 5.832 5.832 5.832 Å, 60.00 60.00 60.00°
Last column: magnetic moment on the atom in μB.
Fractional positions:
I 0.250 0.250 0.250  0.09
I 0.750 0.750 0.750  0.09
Co 0.000 0.000 0.000  2.31
Ba 0.500 0.500 0.500  0.02

## Properties
energy relative to the elements, uncorrected = -85 kJ/mol of formula units
calculated volume = 35.06 Å³/atom
uncorrected energy = -3.25 eV per atom
energy relative to the lowest polymorph listed for this composition = 328 meV per atom

Computed, not measured: a relaxed SbAsOs2 crystal at the PBE level of DFT.

Cell: 5.600 5.600 5.600 Å, 147.44 133.96 57.52°
Fractional positions:
Sb 0.498 0.498 0.000
As 0.230 0.730 0.500
Os 0.028 0.028 0.000
Os 0.744 0.244 0.500

## Properties
energy relative to the elements, uncorrected = 253 kJ/mol of formula units
calculated volume = 16.87 Å³/atom
uncorrected energy = -7.15 eV per atom
energy relative to the lowest polymorph listed for this composition = 358 meV per atom

Computed, not measured: a relaxed PmLuSnRh crystal at the PBE level of DFT.

Cell: 5.119 5.119 5.119 Å, 60.00 60.00 60.00°
Fractional positions:
Lu 0.500 0.500 0.500
Rh 0.750 0.750 0.750
Sn 0.250 0.250 0.250
Pm 0.000 0.000 0.000

## Properties
calculated volume = 23.71 Å³/atom
E_form = -238 kJ/mol of formula units
uncorrected energy = -5.77 eV per atom

Computed, not measured: a relaxed TaIn2Te crystal at the PBE level of DFT.

Cell: 4.785 3.553 5.857 Å, 72.34 90.00 90.00°
Fractional positions:
In 0.000 0.959 0.956
In 0.500 0.287 0.300
Ta 0.000 0.694 0.487
Te 0.500 0.560 0.756

## Properties
energy relative to the elements, uncorrected = 79 kJ/mol of formula units
calculated volume = 23.72 Å³/atom
uncorrected energy = -4.91 eV per atom
energy relative to the lowest polymorph listed for this composition = 128 meV per atom

Computed, not measured: a relaxed LaMgCd2Tc crystal at the PBE level of DFT.

Cell: 5.021 5.048 5.021 Å, 90.00 90.00 90.00°
Last column: magnetic moment on the atom in μB.
Fractional positions:
Mg 0.000 0.000 0.000  -0.01
Cd 0.000 0.000 0.500  -0.01
Cd 0.500 0.000 0.000  -0.01
Tc 0.000 0.500 0.000  1.33
La 0.500 0.500 0.500  -0.08

## Properties
calculated volume = 25.46 Å³/atom
E_form = 298 kJ/mol of formula units
uncorrected energy = -3.13 eV per atom

Which value of calculated volume does entry 6 give?
25.46 Å³/atom

The highest calculated volume belongs to which entry?
LaPrSmTh2

Which value of calculated volume does entry 3 give?
16.87 Å³/atom